# 1
Computed, not measured: MgTiV after structural relaxation at the PBE-GGA level of DFT.

```
3
Lattice="-1.598 1.598 5.222 1.598 -1.598 5.222 1.598 1.598 -5.222" Properties=species:S:1:pos:R:3 pbc="T T T"
Mg 0.000 0.000 0.000
Ti 0.000 0.000 3.184
V 0.000 0.000 7.057
```

**Symmetry**: I4mm (107)
**Energy relative to the elements**: 6.10 kcal/mol of atoms

=====

# 2
Computed, not measured: Mg6TiV after structural relaxation at the PBE-GGA level of DFT.

```
8
Lattice="4.851 0.000 0.000 0.000 3.072 5.499 0.000 -3.072 5.499" Properties=species:S:1:pos:R:3 pbc="T T T"
Mg 0.000 0.000 0.000
Mg 0.000 -1.481 8.279
Mg 0.000 1.481 8.279
Mg 2.426 0.000 1.777
Mg 2.426 -1.487 4.533
Mg 2.426 1.487 4.533
Ti 0.000 0.000 5.701
V 2.426 0.000 7.106
```

**Symmetry**: Amm2 (38)
**Energy relative to the elements**: 4.48 kcal/mol of atoms

=====

# 3
Computed, not measured: MgTi3W after structural relaxation at the PBE-GGA level of DFT.

```
5
Lattice="4.830 0.000 0.000 0.000 4.830 0.000 0.000 0.000 4.830" Properties=species:S:1:pos:R:3 pbc="T T T"
Mg 0.000 0.000 0.000
Ti 0.000 2.415 2.415
Ti 2.415 0.000 2.415
Ti 2.415 2.415 0.000
W 2.415 2.415 2.415
```

**Symmetry**: Pm-3m (221)
**Energy relative to the elements**: 18.63 kcal/mol of atoms

=====

# 4
Computed, not measured: Mg14TiW after structural relaxation at the PBE-GGA level of DFT.

```
16
Lattice="6.265 0.000 0.000 -3.132 5.425 0.000 0.000 0.000 10.005" Properties=species:S:1:pos:R:3 pbc="T T T"
Mg 0.000 0.000 2.452
Mg 0.000 0.000 7.553
Mg -1.490 2.757 2.576
Mg -1.490 2.757 7.429
Mg 1.564 0.903 5.002
Mg 1.592 0.919 0.000
Mg 1.490 2.757 2.576
Mg 1.490 2.757 7.429
Mg 0.000 5.337 2.576
Mg 0.000 5.337 7.429
Mg 4.673 0.919 0.000
Mg 3.132 3.587 0.000
Mg 4.701 0.903 5.002
Mg 3.132 3.620 5.002
Ti 0.000 3.617 0.000
W 0.000 3.617 5.002
```

**Symmetry**: P-6m2 (187)
**Energy relative to the elements**: 4.43 kcal/mol of atoms

=====

# 5
Computed, not measured: Mg4TiW2 after structural relaxation at the PBE-GGA level of DFT.

```
7
Lattice="-2.550 2.550 6.847 2.550 -2.550 6.847 2.550 2.550 -6.847" Properties=species:S:1:pos:R:3 pbc="T T T"
Mg 2.550 0.000 0.000
Mg 0.000 0.000 2.763
Mg 0.000 2.550 0.000
Mg 0.000 0.000 10.930
Ti 0.000 0.000 0.000
W 0.000 0.000 5.709
W 0.000 0.000 7.984
```

**Symmetry**: I4/mmm (139)
**Energy relative to the elements**: 31.35 kcal/mol of atoms

=====

# 6
Computed, not measured: MgTi3W after structural relaxation at the PBE-GGA level of DFT.

```
5
Lattice="4.598 0.000 0.000 0.000 4.598 0.000 0.000 0.000 4.598" Properties=species:S:1:pos:R:3 pbc="T T T"
Mg 0.000 0.000 0.000
Ti 0.000 0.000 2.299
Ti 0.000 2.299 0.000
Ti 2.299 0.000 0.000
W 2.299 2.299 2.299
```

**Symmetry**: Pm-3m (221)
**Energy relative to the elements**: 39.48 kcal/mol of atoms

=====

# 7
Computed, not measured: Mg14TiW after structural relaxation at the PBE-GGA level of DFT.

```
16
Lattice="10.112 0.000 0.000 0.000 3.031 5.521 0.000 -3.031 5.521" Properties=species:S:1:pos:R:3 pbc="T T T"
Mg 0.000 0.000 0.000
Mg 0.000 -1.509 2.765
Mg 0.000 0.000 5.497
Mg 0.000 1.509 2.765
Mg 2.555 0.000 7.258
Mg 2.655 0.000 1.722
Mg 2.665 -1.539 4.598
Mg 2.665 1.539 4.598
Mg 5.056 -1.529 2.788
Mg 5.056 1.529 2.788
Mg 7.447 -1.539 4.598
Mg 7.447 1.539 4.598
Mg 7.457 0.000 1.722
Mg 7.557 0.000 7.258
Ti 5.056 0.000 5.559
W 5.056 0.000 0.048
```

**Symmetry**: Amm2 (38)
**Energy relative to the elements**: 3.55 kcal/mol of atoms

=====

# 8
Computed, not measured: YMgTi2W after structural relaxation at the PBE-GGA level of DFT.

```
5
Lattice="4.628 0.000 0.000 0.000 4.628 0.000 0.000 0.000 5.007" Properties=species:S:1:pos:R:3 pbc="T T T"
Y 0.000 0.000 0.000
Mg 0.000 0.000 2.503
Ti 0.000 2.314 0.000
Ti 2.314 0.000 0.000
W 2.314 2.314 2.503
```

**Symmetry**: P4/mmm (123)
**Energy relative to the elements**: 46.44 kcal/mol of atoms

=====

Number 1: E -5.9382 eV/atom. Number 2: E -3.1285 eV/atom. Number 3: E -6.8385 eV/atom. Number 4: E -2.5063 eV/atom. Number 5: E -4.3803 eV/atom. Number 6: E -5.9343 eV/atom. Number 7: E -2.5444 eV/atom. Number 8: E -5.3465 eV/atom.